Record 1
The following is a DFT calculation (PBE) of MnInHgTe3 after structural relaxation.

Computed properties:
As for the uncorrected formation energy: -151 meV per atom. The calculation puts the spin magnetization at 0.4693 μB per atom. The density of states at the Fermi level is 2.0 states/eV/f.u.

Lattice parameters (Å, degrees): 7.8465 3.9198 12.0314 90.00 107.95 90.00
Atoms (fractional coordinates):
Mn1 0.1869 0.2500 0.1175
Mn2 0.8131 0.7500 0.8825
In1 0.4152 0.2500 0.6379
In2 0.5848 0.7500 0.3621
Hg1 0.1036 0.7500 0.6163
Hg2 0.8964 0.2500 0.3837
Te1 0.0523 0.2500 0.8829
Te2 0.2863 0.2500 0.3541
Te3 0.4114 0.7500 0.1010
Te4 0.5886 0.2500 0.8990
Te5 0.7137 0.7500 0.6459
Te6 0.9477 0.7500 0.1171

Record 2
The following is a DFT calculation (PBE) of Dy2SiNi after structural relaxation.

Computed properties:
As for the uncorrected formation energy: -639 meV per atom. The calculation puts the spin magnetization at 0.0000 μB per atom. The density of states at the Fermi level is 3.6 states/eV/f.u.

Lattice parameters (Å, degrees): 4.0437 5.6453 5.6453 41.27 90.00 90.00
Atoms (fractional coordinates):
Dy1 0.0000 0.0000 0.0000
Dy2 0.5000 0.2807 0.2807
Si1 0.5000 0.5724 0.5724
Ni1 0.0000 0.7074 0.7074

Record 3
The following is a DFT calculation (PBE) of Co2NiOs after structural relaxation.

Computed properties:
The calculation puts the spin magnetization at 1.0837 μB per atom. The formation energy comes out at 0.28 eV/atom. The density of states at the Fermi level is 5.8 states/eV/f.u.

Lattice parameters (Å, degrees): 2.5967 4.3216 4.3422 90.00 90.00 90.00
Atoms (fractional coordinates):
Co1 0.0000 0.0000 0.0000
Co2 0.5000 0.5000 0.0000
Ni1 0.0000 0.5000 0.5000
Os1 0.5000 0.0000 0.5000

Record 4
The following is a DFT calculation (PBE) of ScRu2 after structural relaxation.

Computed properties:
The calculation puts the spin magnetization at 0.0008 μB per atom. The formation energy comes out at 0.12 eV/atom. The density of states at the Fermi level is 4.4 states/eV/f.u.

Lattice parameters (Å, degrees): 2.9159 2.9159 6.5503 90.00 90.00 120.00
Atoms (fractional coordinates):
Sc1 0.0000 0.0000 0.0000
Ru1 0.3333 0.6667 0.6563
Ru2 0.6667 0.3333 0.3437

Record 5
The following is a DFT calculation (PBE) of Be4Cu2Pt after structural relaxation.

Computed properties:
The calculation puts the spin magnetization at 0.0000 μB per atom. The formation energy comes out at 0.39 eV/atom. The density of states at the Fermi level is 2.3 states/eV/f.u.

Lattice parameters (Å, degrees): 6.3718 6.3718 6.3718 141.55 141.55 55.51
Atoms (fractional coordinates):
Be1 0.0000 0.5000 0.5000
Be2 0.1959 0.1959 0.0000
Be3 0.5000 0.0000 0.5000
Be4 0.8041 0.8041 0.0000
Cu1 0.3897 0.3897 0.0000
Cu2 0.6103 0.6103 0.0000
Pt1 0.0000 0.0000 0.0000

Record 6
The following is a DFT calculation (PBE) of Li4DyMg15 after structural relaxation.

Computed properties:
The calculation puts the spin magnetization at 0.0000 μB per atom. The formation energy comes out at -0.04 eV/atom. The density of states at the Fermi level is 4.0 states/eV/f.u.

Lattice parameters (Å, degrees): 4.5031 4.5031 22.3603 90.00 90.00 90.00
Atoms (fractional coordinates):
Li1 0.0000 0.0000 0.0961
Li2 0.0000 0.0000 0.2960
Li3 0.0000 0.0000 0.7040
Li4 0.0000 0.0000 0.9039
Dy1 0.0000 0.0000 0.5000
Mg1 0.0000 0.5000 0.0000
Mg2 0.0000 0.5000 0.1951
Mg3 0.0000 0.5000 0.3924
Mg4 0.0000 0.5000 0.6076
Mg5 0.0000 0.5000 0.8049
Mg6 0.5000 0.0000 0.0000
Mg7 0.5000 0.0000 0.1951
Mg8 0.5000 0.0000 0.3924
Mg9 0.5000 0.0000 0.6076
Mg10 0.5000 0.0000 0.8049
Mg11 0.5000 0.5000 0.0978
Mg12 0.5000 0.5000 0.2915
Mg13 0.5000 0.5000 0.5000
Mg14 0.5000 0.5000 0.7085
Mg15 0.5000 0.5000 0.9022

Record 7
The following is a DFT calculation (PBE) of Dy6SnPd2 after structural relaxation.

Computed properties:
The calculation puts the spin magnetization at 0.0000 μB per atom. The formation energy comes out at -0.60 eV/atom. The density of states at the Fermi level is 7.7 states/eV/f.u.

Lattice parameters (Å, degrees): 8.5797 8.5797 8.5797 113.28 110.47 104.78
Atoms (fractional coordinates):
Dy1 0.0365 0.2361 0.8003
Dy2 0.1827 0.2898 0.4725
Dy3 0.1827 0.7102 0.8930
Dy4 0.3270 0.0249 0.6979
Dy5 0.3270 0.6291 0.3021
Dy6 0.4358 0.2361 0.1997
Dy7 0.5642 0.7639 0.8003
Dy8 0.6730 0.3709 0.6979
Dy9 0.6730 0.9751 0.3021
Dy10 0.8173 0.2898 0.1070
Dy11 0.8173 0.7102 0.5275
Dy12 0.9635 0.7639 0.1997
Sn1 0.0000 0.0000 0.0000
Sn2 0.5000 0.5000 0.0000
Pd1 0.1322 0.6322 0.5000
Pd2 0.3444 0.0000 0.3444
Pd3 0.6556 0.0000 0.6556
Pd4 0.8678 0.3678 0.5000

Record 8
The following is a DFT calculation (PBE) of SrZr2As after structural relaxation.

Computed properties:
The calculation puts the spin magnetization at 0.0000 μB per atom. The formation energy comes out at 0.03 eV/atom. The density of states at the Fermi level is 4.0 states/eV/f.u.

Lattice parameters (Å, degrees): 4.4701 4.4701 4.6835 90.00 90.00 90.00
Atoms (fractional coordinates):
Sr1 0.0000 0.0000 0.0000
Zr1 0.0000 0.5000 0.5000
Zr2 0.5000 0.0000 0.5000
As1 0.5000 0.5000 0.0000

Record 9
The following is a DFT calculation (PBE) of Cs2Tl6SnBi after structural relaxation.

Computed properties:
The calculation puts the spin magnetization at 0.0000 μB per atom. The formation energy comes out at -0.04 eV/atom. The density of states at the Fermi level is 5.9 states/eV/f.u.

Lattice parameters (Å, degrees): 15.4534 15.4534 15.4534 30.45 30.45 30.45
Atoms (fractional coordinates):
Cs1 0.1016 0.1016 0.1016
Cs2 0.2770 0.2770 0.2770
Cs3 0.7230 0.7230 0.7230
Cs4 0.8984 0.8984 0.8984
Tl1 0.0798 0.6635 0.6635
Tl2 0.2270 0.2270 0.6237
Tl3 0.2270 0.6237 0.2270
Tl4 0.3365 0.3365 0.9202
Tl5 0.3365 0.9202 0.3365
Tl6 0.3763 0.7730 0.7730
Tl7 0.6237 0.2270 0.2270
Tl8 0.6635 0.0798 0.6635
Tl9 0.6635 0.6635 0.0798
Tl10 0.7730 0.3763 0.7730
Tl11 0.7730 0.7730 0.3763
Tl12 0.9202 0.3365 0.3365
Sn1 0.0000 0.0000 0.0000
Sn2 0.5000 0.5000 0.5000
Bi1 0.4252 0.4252 0.4252
Bi2 0.5748 0.5748 0.5748

Record 10
The following is a DFT calculation (PBE) of Ac6Pr8Dy after structural relaxation.

Computed properties:
The calculation puts the spin magnetization at 0.0000 μB per atom. The formation energy comes out at 0.10 eV/atom. The density of states at the Fermi level is 23.8 states/eV/f.u.

Lattice parameters (Å, degrees): 9.2458 9.2458 9.2458 62.77 62.77 62.77
Atoms (fractional coordinates):
Ac1 0.0433 0.5902 0.7401
Ac2 0.2599 0.9567 0.4098
Ac3 0.4098 0.2599 0.9567
Ac4 0.5902 0.7401 0.0433
Ac5 0.7401 0.0433 0.5902
Ac6 0.9567 0.4098 0.2599
Pr1 0.0751 0.0751 0.0751
Pr2 0.2065 0.6116 0.2626
Pr3 0.2626 0.2065 0.6116
Pr4 0.3884 0.7374 0.7935
Pr5 0.6116 0.2626 0.2065
Pr6 0.7374 0.7935 0.3884
Pr7 0.7935 0.3884 0.7374
Pr8 0.9249 0.9249 0.9249
Dy1 0.5000 0.5000 0.5000

Record 11
The following is a DFT calculation (PBE) of Nd12Ga6N after structural relaxation.

Computed properties:
As for the uncorrected formation energy: -446 meV per atom. The calculation puts the spin magnetization at 0.0000 μB per atom. The density of states at the Fermi level is 18.9 states/eV/f.u.

Lattice parameters (Å, degrees): 8.1902 8.1902 8.1902 93.98 93.98 93.98
Atoms (fractional coordinates):
Nd1 0.0372 0.7036 0.9257
Nd2 0.0743 0.9628 0.2964
Nd3 0.1898 0.5456 0.4212
Nd4 0.2964 0.0743 0.9628
Nd5 0.4212 0.1898 0.5456
Nd6 0.4544 0.5788 0.8102
Nd7 0.5456 0.4212 0.1898
Nd8 0.5788 0.8102 0.4544
Nd9 0.7036 0.9257 0.0372
Nd10 0.8102 0.4544 0.5788
Nd11 0.9257 0.0372 0.7036
Nd12 0.9628 0.2964 0.0743
Ga1 0.1461 0.3507 0.7402
Ga2 0.2598 0.8539 0.6493
Ga3 0.3507 0.7402 0.1461
Ga4 0.6493 0.2598 0.8539
Ga5 0.7402 0.1461 0.3507
Ga6 0.8539 0.6493 0.2598
N1 0.0000 0.0000 0.0000

Record 12
The following is a DFT calculation (PBE) of Dy2TmSc9 after structural relaxation.

Computed properties:
The calculation puts the spin magnetization at 0.1643 μB per atom. The formation energy comes out at 0.26 eV/atom. The density of states at the Fermi level is 25.9 states/eV/f.u.

Lattice parameters (Å, degrees): 10.0936 10.0936 10.0936 36.75 36.75 36.75
Atoms (fractional coordinates):
Dy1 0.1352 0.1352 0.1352
Dy2 0.8648 0.8648 0.8648
Tm1 0.0000 0.0000 0.0000
Sc1 0.0752 0.5938 0.5938
Sc2 0.3349 0.3349 0.3349
Sc3 0.4062 0.4062 0.9248
Sc4 0.4062 0.9248 0.4062
Sc5 0.5000 0.5000 0.5000
Sc6 0.5938 0.0752 0.5938
Sc7 0.5938 0.5938 0.0752
Sc8 0.6651 0.6651 0.6651
Sc9 0.9248 0.4062 0.4062